Computed, not measured: a PBEsol-optimized structure of ZnCu2SnSe3S at the meta-GGA SCAN level of DFT.

## Properties
- ΔE_f (raw): -0.441 eV/atom
- Energy relative to the lowest polymorph listed for this composition: 3.5 meV/atom

Lattice parameters (Å, degrees): 7.878 7.921 6.830 90.00 125.13 90.00
Space group Cm (No. 8)
Unique sites:
Zn 0.000 0.000 0.000 (multiplicity 2)
Cu 0.019 0.264 0.522 (multiplicity 4)
Sn 0.016 0.500 0.007 (multiplicity 2)
Se 0.115 0.000 0.732 (multiplicity 2)
Se 0.148 0.238 0.281 (multiplicity 4)
S 0.137 0.500 0.743 (multiplicity 2)

Computed, not measured: a PBEsol-optimized structure of Ta3CrCu at the meta-GGA SCAN level of DFT.

## Properties
- ΔH_f (0 K): 6.086 eV per formula unit

Lattice parameters (Å, degrees): 4.519 4.519 4.519 90.00 90.00 90.00
Space group Pm-3m (No. 221)
Unique sites:
Ta 0.000 0.000 0.500 (multiplicity 3)
Cr 0.000 0.000 0.000 (multiplicity 1)
Cu 0.500 0.500 0.500 (multiplicity 1)

Computed, not measured: a PBEsol-optimized structure of NbPO2 at the meta-GGA SCAN level of DFT.

## Properties
- ΔE_f (raw): -0.964 eV/atom

Lattice parameters (Å, degrees): 8.609 8.609 8.609 90.00 90.00 90.00
Space group Fd-3m (No. 227, origin choice 2)
Unique sites:
Nb 0.125 0.125 0.125 (multiplicity 8)
P 0.125 0.125 0.625 (multiplicity 8)
O 0.000 0.000 0.000 (multiplicity 16)

Computed, not measured: a PBEsol-optimized structure of ScMnO3 at the meta-GGA SCAN level of DFT.

## Properties
- ΔE_f (raw): -2.996 eV/atom

Lattice parameters (Å, degrees): 5.002 5.378 8.891 90.00 122.44 90.00
Space group P2_1/c (No. 14)
Unique sites:
Sc 0.215 0.076 0.242 (multiplicity 4)
Mn 0.000 0.000 0.500 (multiplicity 2)
Mn 0.500 0.000 0.000 (multiplicity 2)
O 0.123 0.189 0.936 (multiplicity 4)
O 0.226 0.687 0.920 (multiplicity 4)
O 0.400 0.060 0.758 (multiplicity 4)

Computed, not measured: a PBEsol-optimized structure of Tb2Al9Rh3 at the meta-GGA SCAN level of DFT.

## Properties
- ΔH_f (0 K): -13.546 eV per formula unit

Lattice parameters (Å, degrees): 12.917 7.556 9.396 90.00 90.00 90.00
Space group Cmcm (No. 63)
Unique sites:
Tb 0.161 0.167 0.250 (multiplicity 8)
Al 0.000 0.128 0.750 (multiplicity 4)
Al 0.000 0.333 0.050 (multiplicity 8)
Al 0.106 0.446 0.750 (multiplicity 8)
Al 0.168 0.168 0.575 (multiplicity 16)
Rh 0.000 0.000 0.000 (multiplicity 4)
Rh 0.172 0.500 0.000 (multiplicity 8)

Computed, not measured: a PBEsol-optimized structure of Be2RuPt at the meta-GGA SCAN level of DFT.

## Properties
- Energy relative to the lowest polymorph listed for this composition: 633.0 meV/atom
- ΔH_f (0 K): -0.238 eV per formula unit

Lattice parameters (Å, degrees): 5.766 5.766 5.766 90.00 90.00 90.00
Space group F-43m (No. 216)
Unique sites:
Be 0.000 0.000 0.000 (multiplicity 4)
Be 0.250 0.250 0.250 (multiplicity 4)
Ru 0.000 0.000 0.500 (multiplicity 4)
Pt 0.250 0.250 0.750 (multiplicity 4)

Computed, not measured: a PBEsol-optimized structure of ZrCoF6 at the meta-GGA SCAN level of DFT.

## Properties
- ΔE_f (raw): -3.302 eV/atom

Lattice parameters (Å, degrees): 5.6208 5.6208 13.8823 90.00 90.00 120.00
Space group R-3 (No. 148, hexagonal axes)
Unique sites:
Zr 0.0000 0.0000 0.0000 (multiplicity 3)
Co 0.0000 0.0000 0.5000 (multiplicity 3)
F 0.0009 0.4624 0.2498 (multiplicity 18)

Computed, not measured: a PBEsol-optimized structure of Sm2Te5 at the meta-GGA SCAN level of DFT.

## Properties
- ΔE_f (raw): -1.216 eV/atom

Lattice parameters (Å, degrees): 4.348 43.641 4.351 90.00 90.00 90.00
Space group Cmcm (No. 63)
Unique sites:
Sm 0.000 0.099 0.250 (multiplicity 4)
Sm 0.000 0.307 0.250 (multiplicity 4)
Te 0.000 0.042 0.750 (multiplicity 4)
Te 0.000 0.173 0.250 (multiplicity 4)
Te 0.000 0.250 0.750 (multiplicity 4)
Te 0.000 0.379 0.250 (multiplicity 4)
Te 0.000 0.457 0.750 (multiplicity 4)

Computed, not measured: a PBEsol-optimized structure of K2PtAu at the meta-GGA SCAN level of DFT.

## Properties
- Energy relative to the lowest polymorph listed for this composition: 218.5 meV/atom
- ΔH_f (0 K): 0.798 eV per formula unit

Lattice parameters (Å, degrees): 3.0656 3.0656 31.7357 90.00 90.00 120.00
Space group R-3m (No. 166, hexagonal axes)
Unique sites:
K 0.0000 0.0000 0.2465 (multiplicity 6)
Pt 0.0000 0.0000 0.5000 (multiplicity 3)
Au 0.0000 0.0000 0.0000 (multiplicity 3)

Computed, not measured: a PBEsol-optimized structure of KSr2Sb at the meta-GGA SCAN level of DFT.

## Properties
- ΔE_f (raw): -0.327 eV/atom

Lattice parameters (Å, degrees): 5.459 5.459 9.845 90.00 90.00 90.00
Space group I4/mmm (No. 139)
Unique sites:
K 0.000 0.000 0.000 (multiplicity 2)
Sr 0.000 0.500 0.250 (multiplicity 4)
Sb 0.000 0.000 0.500 (multiplicity 2)

Computed, not measured: a PBEsol-optimized structure of ZnAgAs2 at the meta-GGA SCAN level of DFT.

## Properties
- ΔH_f (0 K): 0.813 eV per formula unit

Lattice parameters (Å, degrees): 3.442 3.870 10.978 90.00 90.00 90.00
Space group Imm2 (No. 44)
Unique sites:
Zn 0.000 0.000 0.000 (multiplicity 2)
Ag 0.000 0.500 0.169 (multiplicity 2)
As 0.000 0.000 0.435 (multiplicity 2)
As 0.000 0.500 0.757 (multiplicity 2)

Computed, not measured: a PBEsol-optimized structure of ZnTe2N at the meta-GGA SCAN level of DFT.

## Properties
- ΔE_f (raw): 0.598 eV/atom
- Energy relative to the lowest polymorph listed for this composition: 0.0 meV/atom

Lattice parameters (Å, degrees): 5.363 5.363 12.678 90.00 90.00 90.00
Space group I-42d (No. 122)
Unique sites:
Zn 0.000 0.000 0.000 (multiplicity 4)
Te 0.185 0.250 0.625 (multiplicity 8)
N 0.000 0.000 0.500 (multiplicity 4)

Computed, not measured: a PBEsol-optimized structure of KOsBr2 at the meta-GGA SCAN level of DFT.

## Properties
- ΔE_f (raw): 0.379 eV/atom
- Energy relative to the lowest polymorph listed for this composition: 370.9 meV/atom

Lattice parameters (Å, degrees): 3.2746 3.2746 28.4963 90.00 90.00 120.00
Space group R-3m (No. 166, hexagonal axes)
Unique sites:
K 0.0000 0.0000 0.0000 (multiplicity 3)
Os 0.0000 0.0000 0.5000 (multiplicity 3)
Br 0.0000 0.0000 0.4167 (multiplicity 6)

Computed, not measured: a PBEsol-optimized structure of RbSN2O at the meta-GGA SCAN level of DFT.

## Properties
- ΔE_f (raw): 1.434 eV/atom

Lattice parameters (Å, degrees): 5.214 5.214 3.468 90.00 90.00 90.00
Space group P4/mmm (No. 123)
Unique sites:
Rb 0.000 0.000 0.000 (multiplicity 1)
S 0.500 0.500 0.000 (multiplicity 1)
N 0.000 0.500 0.500 (multiplicity 2)
O 0.500 0.500 0.500 (multiplicity 1)

Computed, not measured: a PBEsol-optimized structure of ScGeOs at the meta-GGA SCAN level of DFT.

## Properties
- ΔH_f (0 K): -2.388 eV per formula unit

Lattice parameters (Å, degrees): 6.9374 6.9374 3.4081 90.00 90.00 120.00
Space group P-62m (No. 189)
Unique sites:
Sc 0.0000 0.4017 0.0000 (multiplicity 3)
Ge 0.0000 0.0000 0.0000 (multiplicity 1)
Ge 0.3333 0.6667 0.5000 (multiplicity 2)
Os 0.0000 0.7432 0.5000 (multiplicity 3)

Computed, not measured: a PBEsol-optimized structure of ScCd2In at the meta-GGA SCAN level of DFT.

## Properties
- ΔH_f (0 K): -0.921 eV per formula unit

Lattice parameters (Å, degrees): 4.442 4.442 8.609 90.00 90.00 90.00
Space group I-4m2 (No. 119)
Unique sites:
Sc 0.000 0.000 0.000 (multiplicity 2)
Cd 0.000 0.000 0.500 (multiplicity 2)
Cd 0.000 0.500 0.750 (multiplicity 2)
In 0.000 0.500 0.250 (multiplicity 2)

Computed, not measured: a PBEsol-optimized structure of SbTe2OsN at the meta-GGA SCAN level of DFT.

## Properties
- ΔE_f (raw): 1.302 eV/atom

Lattice parameters (Å, degrees): 4.501 4.501 4.576 90.00 90.00 90.00
Space group P4/mmm (No. 123)
Unique sites:
Sb 0.000 0.000 0.000 (multiplicity 1)
Te 0.000 0.500 0.500 (multiplicity 2)
Os 0.500 0.500 0.000 (multiplicity 1)
N 0.000 0.000 0.500 (multiplicity 1)

Computed, not measured: a PBEsol-optimized structure of ZrMn6GaSn5 at the meta-GGA SCAN level of DFT.

## Properties
- ΔH_f (0 K): -3.135 eV per formula unit

Lattice parameters (Å, degrees): 5.2617 5.2617 8.7128 90.00 90.00 120.00
Space group P-6m2 (No. 187)
Unique sites:
Zr 0.0000 0.0000 0.0000 (multiplicity 1)
Mn 0.0067 0.5033 0.2419 (multiplicity 6)
Ga 0.3333 0.6667 0.0000 (multiplicity 1)
Sn 0.0000 0.0000 0.3286 (multiplicity 2)
Sn 0.3333 0.6667 0.5000 (multiplicity 1)
Sn 0.6667 0.3333 0.0000 (multiplicity 1)
Sn 0.6667 0.3333 0.5000 (multiplicity 1)

Computed, not measured: a PBEsol-optimized structure of ZrBeAs2 at the meta-GGA SCAN level of DFT.

## Properties
- ΔH_f (0 K): 0.030 eV per formula unit

Lattice parameters (Å, degrees): 9.366 2.898 4.913 90.00 94.44 90.00
Space group C2/m (No. 12)
Unique sites:
Zr 0.000 0.000 0.000 (multiplicity 2)
Be 0.000 0.500 0.500 (multiplicity 2)
As 0.239 0.500 0.254 (multiplicity 4)

Computed, not measured: a PBEsol-optimized structure of LiCaH3 at the meta-GGA SCAN level of DFT.

## Properties
- Final energy: -0.372 Ry per atom

Lattice parameters (Å, degrees): 5.1275 5.1275 12.3276 90.00 90.00 120.00
Space group R-3c (No. 167, hexagonal axes)
Unique sites:
Li 0.0000 0.0000 0.0000 (multiplicity 6)
Ca 0.0000 0.0000 0.2500 (multiplicity 6)
H 0.0000 0.4559 0.2500 (multiplicity 18)